Here is a relaxed structure of LiNdLu from Alexandria via LeMat-Bulk. Energies are from PBE.

Structure (POSCAR):
```
LiNdLu
1.0
3.4901 0.0000 0.0000
-1.7450 3.0225 0.0000
0.0000 0.0000 8.3409
Li Nd Lu
1 1 1
Cartesian
0.0000 0.0000 0.0000
0.0000 2.0150 5.5074
1.7450 1.0075 2.6684
```

The value obtained for the energy is -3.62 eV/atom. The offset from the most stable computed form comes out at 0.0301 eV per atom. As for the total moment: 0.00 μB/f.u. The formation enthalpy at 0 K is 117 meV per atom.